Below is a relaxed structure of SmCdInAg, with properties calculated at the GGA-PBE level.

DFT formation energy = -0.321 eV per atom
density of states at the Fermi level = 2.2 states/eV/cell
ρ = 8.700 Mg/m³
spin magnetization = 0.0 μB/f.u.
space group = F-43m, No. 216

Cell: 5.0793 5.0793 5.0793 Å, 60.00 60.00 60.00°
Last column: nearest neighbours and their distance in Å.
Positions (direct):
Sm 0.0000 0.0000 0.0000  4 Cd 3.11, 4 Ag 3.11
Cd 0.7500 0.7500 0.7500  4 In 3.11, 4 Sm 3.11
In 0.5000 0.5000 0.5000  4 Cd 3.11, 4 Ag 3.11
Ag 0.2500 0.2500 0.2500  4 In 3.11, 4 Sm 3.11